! TePAu PBE-GGA optimized geometry; values from VASP
! - E above lowest polymorph (meV per atom) = 77
! - V (A^3/atom) = 31.91
! - E_form (uncorrected) (eV/atom) = 0.083
! - magnetic moment (μB per cell) = 0.00
&SYSTEM
  ibrav = 0, nat = 6, ntyp = 3
/
ATOMIC_SPECIES
Te 127.60 Te.upf
P 30.97 P.upf
Au 196.97 Au.upf
CELL_PARAMETERS angstrom
5.163 0.000 0.000
1.086 5.926 0.000
0.821 2.799 6.258
ATOMIC_POSITIONS angstrom
Te 0.000 0.000 0.000
Te 0.668 2.910 0.008
P 2.696 2.092 4.438
P 4.425 3.357 4.278
Au 1.582 2.649 2.458
Au 3.952 5.643 4.748